## i
VASP calculation (PBE) on a geometry-optimized InHgI structure.

Unit cell a=5.6039 b=5.6039 c=5.6039 alpha=60.00 beta=60.00 gamma=60.00
Closest atoms and distances in Å follow each position.
Fractional positions:
Hg (0.0000, 0.0000, 0.0000)  4 In 3.43
I (0.5000, 0.5000, 0.5000)  4 In 3.43
In (0.2500, 0.2500, 0.2500)  4 Hg 3.43, 4 I 3.43

=====

## ii
VASP calculation (PBE) on a geometry-optimized InHgI structure.

Unit cell a=4.3991 b=4.3940 c=15.6372 alpha=98.03 beta=90.00 gamma=120.04
Closest atoms and distances in Å follow each position.
Fractional positions:
Hg (0.6417, 0.2835, 0.4249)  3 Hg 3.43-3.44
In (0.8055, 0.6109, 0.9164)  3 I 3.17
Hg (0.3583, 0.7165, 0.5751)  3 Hg 3.43-3.44
I (0.9017, 0.8035, 0.2067)  3 In 3.17
I (0.0983, 0.1965, 0.7933)  3 In 3.17
In (0.1945, 0.3891, 0.0836)  3 I 3.17

=====

i is preferred energetically. Next in line: 41 meV/atom higher.

=====

## i
VASP calculation (PBE) on a geometry-optimized InHgI structure.

Unit cell a=4.8178 b=6.4664 c=8.5840 alpha=101.22 beta=90.00 gamma=111.87
Closest atoms and distances in Å follow each position.
Fractional positions:
I (0.1201, 0.2402, 0.3196)  3 In 3.27-3.34
Hg (0.6176, 0.2352, 0.9386)  1 Hg 3.21, 3 In 3.36-3.38
In (0.1930, 0.3859, 0.7087)  3 I 3.27-3.34, 3 Hg 3.36-3.38
Hg (0.3824, 0.7648, 0.0614)  1 Hg 3.21, 3 In 3.36-3.38
I (0.8799, 0.7598, 0.6804)  3 In 3.27-3.34
In (0.8070, 0.6141, 0.2913)  3 I 3.27-3.34, 3 Hg 3.36-3.38

=====

## ii
VASP calculation (PBE) on a geometry-optimized InHgI structure.

Unit cell a=4.9517 b=4.9517 c=5.4453 alpha=90.00 beta=90.00 gamma=120.00
Closest atoms and distances in Å follow each position.
Fractional positions:
In (0.6667, 0.3333, 0.3164)  3 Hg 3.20, 3 I 3.33
Hg (0.0000, 0.0000, 0.0540)  3 In 3.20
I (0.3333, 0.6667, 0.6297)  3 In 3.33, 3 Hg 3.68

=====

## iii
VASP calculation (PBE) on a geometry-optimized InHgI structure.

Unit cell a=4.1399 b=4.1399 c=7.1624 alpha=106.80 beta=106.80 gamma=90.00
Closest atoms and distances in Å follow each position.
Fractional positions:
Hg (0.9600, 0.9600, 0.9199)  4 In 3.68, 5 I 3.92
I (0.2601, 0.2601, 0.5201)  4 In 3.39
In (0.6300, 0.6300, 0.2600)  4 I 3.39, 4 Hg 3.68

=====

ii is preferred energetically. Next in line: 8 meV/atom higher.

=====

## i
VASP calculation (PBE) on a geometry-optimized In3Hg3I structure.

Unit cell a=7.9773 b=7.9773 c=9.1039 alpha=64.02 beta=64.02 gamma=60.00
Closest atoms and distances in Å follow each position.
Fractional positions:
In (0.1716, 0.9470, 0.1862)  3 Hg 3.12-3.32, 4 In 3.29-3.49, 1 I 3.37
Hg (0.5928, 0.0765, 0.6034)  3 In 3.12-3.32, 4 Hg 3.19-3.45
Hg (0.2727, 0.4072, 0.3966)  3 In 3.12-3.32, 4 Hg 3.19-3.45
Hg (0.4072, 0.9235, 0.3966)  3 In 3.12-3.32, 4 Hg 3.19-3.45
Hg (0.9235, 0.2727, 0.3966)  3 In 3.12-3.32, 4 Hg 3.19-3.45
In (0.9470, 0.6952, 0.1862)  3 Hg 3.12-3.32, 4 In 3.29-3.49, 1 I 3.37
Hg (0.7273, 0.5928, 0.6034)  3 In 3.12-3.32, 4 Hg 3.19-3.45
In (0.0530, 0.3048, 0.8138)  3 Hg 3.12-3.32, 4 In 3.29-3.49, 1 I 3.37
I (0.6543, 0.6543, 0.0372)  6 In 3.37-3.53
In (0.3048, 0.8284, 0.8138)  3 Hg 3.12-3.32, 4 In 3.29-3.49, 1 I 3.37
In (0.8284, 0.0530, 0.8138)  3 Hg 3.12-3.32, 4 In 3.29-3.49, 1 I 3.37
In (0.6952, 0.1716, 0.1862)  3 Hg 3.12-3.32, 4 In 3.29-3.49, 1 I 3.37
Hg (0.0765, 0.7273, 0.6034)  3 In 3.12-3.32, 4 Hg 3.19-3.45
I (0.3457, 0.3457, 0.9628)  6 In 3.37-3.53

=====

## ii
VASP calculation (PBE) on a geometry-optimized In3Hg3I structure.

Unit cell a=8.2210 b=8.2210 c=8.2210 alpha=90.00 beta=90.00 gamma=90.00
Closest atoms and distances in Å follow each position.
Fractional positions:
In (0.5000, 0.7500, 0.0000)  4 Hg 2.91
In (0.7500, 0.0000, 0.5000)  4 Hg 2.91
Hg (0.5000, 0.0000, 0.2500)  4 In 2.91
Hg (0.2500, 0.5000, 0.0000)  4 In 2.91
Hg (0.7500, 0.5000, 0.0000)  4 In 2.91
In (0.0000, 0.5000, 0.2500)  4 Hg 2.91
Hg (0.0000, 0.2500, 0.5000)  4 In 2.91
Hg (0.0000, 0.7500, 0.5000)  4 In 2.91
I (0.5000, 0.5000, 0.5000)  12 Hg 4.60, 12 In 4.60
In (0.0000, 0.5000, 0.7500)  4 Hg 2.91
In (0.2500, 0.0000, 0.5000)  4 Hg 2.91
Hg (0.5000, 0.0000, 0.7500)  4 In 2.91
I (0.0000, 0.0000, 0.0000)  12 Hg 4.60, 12 In 4.60
In (0.5000, 0.2500, 0.0000)  4 Hg 2.91

=====

i is preferred energetically. Next in line: 176 meV/atom higher.

=====

## i
VASP calculation (PBE) on a geometry-optimized In2Hg2I7 structure.

Unit cell a=7.4993 b=8.6764 c=8.6764 alpha=102.21 beta=96.76 gamma=96.76
Closest atoms and distances in Å follow each position.
Fractional positions:
I (0.7842, 0.5615, 0.9215)  1 Hg 2.82
Hg (0.4025, 0.2458, 0.2458)  4 I 2.82-2.91
I (0.2376, 0.6020, 0.6020)  1 Hg 2.89
I (0.7624, 0.3980, 0.3980)  1 Hg 2.89
Hg (0.5975, 0.7542, 0.7542)  4 I 2.82-2.91
In (0.0000, 0.6952, 0.3048)  6 I 3.26-3.42
I (0.2158, 0.4385, 0.0785)  1 Hg 2.82
In (0.0000, 0.3048, 0.6952)  6 I 3.26-3.42
I (0.2158, 0.0785, 0.4385)  1 Hg 2.82
I (0.5000, 0.0000, 0.0000)  2 Hg 2.91
I (0.7842, 0.9215, 0.5615)  1 Hg 2.82

=====

## ii
VASP calculation (PBE) on a geometry-optimized In2Hg2I7 structure.

Unit cell a=7.9118 b=8.0778 c=7.9118 alpha=84.85 beta=103.81 gamma=84.85
Closest atoms and distances in Å follow each position.
Fractional positions:
Hg (0.8836, 0.0000, 0.1164)  1 Hg 2.90
I (0.0000, 0.5000, 0.0000)  2 In 3.04
I (0.5133, 0.7958, 0.8916)  1 In 2.77
Hg (0.1164, 0.0000, 0.8836)  1 Hg 2.90
In (0.3106, 0.3817, 0.3106)  4 I 2.77-3.04
I (0.8916, 0.7958, 0.5133)  1 In 2.77
I (0.3627, 0.7132, 0.3627)  1 In 2.80
I (0.6373, 0.2868, 0.6373)  1 In 2.80
I (0.4867, 0.2042, 0.1084)  1 In 2.77
I (0.1084, 0.2042, 0.4867)  1 In 2.77
In (0.6894, 0.6183, 0.6894)  4 I 2.77-3.04

=====

ii is preferred energetically. Next in line: 34 meV/atom higher.

=====

## i
VASP calculation (PBE) on a geometry-optimized InHgI4 structure.

Unit cell a=5.9731 b=8.2999 c=7.2566 alpha=117.54 beta=84.53 gamma=115.07
Closest atoms and distances in Å follow each position.
Fractional positions:
I (0.1788, 0.2619, 0.3796)  1 In 2.97, 2 Hg 2.99-3.02
I (0.6242, 0.2272, 0.8767)  1 In 2.76
I (0.3733, 0.7225, 0.0781)  1 In 2.72
I (0.8809, 0.7812, 0.5531)  1 In 2.73
In (0.5306, 0.5243, 0.2092)  4 I 2.72-2.97
Hg (0.6622, 0.2329, 0.4033)  2 I 2.99-3.02

=====

## ii
VASP calculation (PBE) on a geometry-optimized InHgI4 structure.

Unit cell a=4.2940 b=8.1041 c=14.4954 alpha=86.45 beta=90.00 gamma=90.00
Closest atoms and distances in Å follow each position.
Fractional positions:
In (0.0000, 0.0000, 0.0000)  6 I 3.12-3.37
I (0.5003, 0.1668, 0.8689)  2 In 3.12, 1 Hg 3.40
Hg (0.5000, 0.5000, 0.0000)  2 I 2.74
I (0.8972, 0.3366, 0.1225)  1 Hg 2.74
In (0.5000, 0.5000, 0.5000)  6 I 3.12-3.37
I (0.4997, 0.8332, 0.1311)  2 In 3.12, 1 Hg 3.40
I (0.3972, 0.1634, 0.3775)  1 Hg 2.74
I (0.1028, 0.6634, 0.8775)  1 Hg 2.74
I (0.9997, 0.6668, 0.3689)  2 In 3.12, 1 Hg 3.40
I (0.6028, 0.8366, 0.6225)  1 Hg 2.74
Hg (0.0000, 0.0000, 0.5000)  2 I 2.74
I (0.0003, 0.3332, 0.6311)  2 In 3.12, 1 Hg 3.40

=====

i is preferred energetically. Next in line: 38 meV/atom higher.

=====

## i
VASP calculation (PBE) on a geometry-optimized InHgI2N structure.

Unit cell a=6.2639 b=6.2639 c=4.2918 alpha=90.00 beta=90.00 gamma=90.00
Closest atoms and distances in Å follow each position.
Fractional positions:
N (0.0000, 0.0000, 0.5000)  2 Hg 2.15
I (0.0000, 0.5000, 0.0000)  2 Hg 3.13
In (0.5000, 0.5000, 0.5000)  8 I 3.80
I (0.5000, 0.0000, 0.0000)  2 Hg 3.13
Hg (0.0000, 0.0000, 0.0000)  2 N 2.15

=====

## ii
VASP calculation (PBE) on a geometry-optimized InHgI2N structure.

Unit cell a=6.1272 b=6.1272 c=4.1825 alpha=90.00 beta=90.00 gamma=90.00
Closest atoms and distances in Å follow each position.
Fractional positions:
I (0.5000, 0.0000, 0.0000)  2 In 3.06
In (0.0000, 0.0000, 0.0000)  2 N 2.09
Hg (0.5000, 0.5000, 0.5000)  8 I 3.71
N (0.0000, 0.0000, 0.5000)  2 In 2.09
I (0.0000, 0.5000, 0.0000)  2 In 3.06

=====

ii is preferred energetically. Next in line: 75 meV/atom higher.

=====

## i
VASP calculation (PBE) on a geometry-optimized NaInHgI2 structure.

Unit cell a=6.6127 b=5.3590 c=6.6127 alpha=90.00 beta=90.00 gamma=90.00
Closest atoms and distances in Å follow each position.
Fractional positions:
I (0.5000, 0.0000, 0.0000)  2 Hg 3.31
Na (0.5000, 0.5000, 0.5000)  8 I 4.26, 4 In 4.68
I (0.0000, 0.0000, 0.5000)  2 Hg 3.31
In (0.0000, 0.5000, 0.0000)  2 Hg 2.68
Hg (0.0000, 0.0000, 0.0000)  2 In 2.68

=====

## ii
VASP calculation (PBE) on a geometry-optimized NaInHgI2 structure.

Unit cell a=4.6511 b=9.1396 c=9.4535 alpha=97.24 beta=90.00 gamma=90.00
Closest atoms and distances in Å follow each position.
Fractional positions:
In (0.7500, 0.2235, 0.6530)  5 I 3.27-3.55, 2 Hg 3.48
I (0.2500, 0.2066, 0.9221)  3 Na 3.17-3.20, 2 In 3.46
Na (0.7500, 0.1430, 0.1395)  5 I 3.17-3.20
I (0.7500, 0.8634, 0.6281)  2 Na 3.20, 3 In 3.27-3.55
Hg (0.7500, 0.4970, 0.3664)  2 Hg 3.43, 2 In 3.48, 1 Na 3.65
I (0.7500, 0.7934, 0.0779)  3 Na 3.17-3.20, 2 In 3.46
I (0.2500, 0.1366, 0.3719)  2 Na 3.20, 3 In 3.27-3.55
In (0.2500, 0.7765, 0.3470)  5 I 3.27-3.55, 2 Hg 3.48
Na (0.2500, 0.8570, 0.8605)  5 I 3.17-3.20
Hg (0.2500, 0.5030, 0.6336)  2 Hg 3.43, 2 In 3.48, 1 Na 3.65

=====

ii is preferred energetically. Next in line: 385 meV/atom higher.

=====

## i
VASP calculation (PBE) on a geometry-optimized InHgSbI2 structure.

Unit cell a=6.0169 b=6.0169 c=5.8779 alpha=90.00 beta=90.00 gamma=90.00
Closest atoms and distances in Å follow each position.
Fractional positions:
Hg (0.5000, 0.5000, 0.5000)  8 I 4.21, 4 Sb 4.25
I (0.0000, 0.5000, 0.0000)  2 In 3.01
I (0.5000, 0.0000, 0.0000)  2 In 3.01
In (0.0000, 0.0000, 0.0000)  2 Sb 2.94, 4 I 3.01
Sb (0.0000, 0.0000, 0.5000)  2 In 2.94

=====

## ii
VASP calculation (PBE) on a geometry-optimized InHgSbI2 structure.

Unit cell a=6.2164 b=6.2164 c=5.5676 alpha=90.00 beta=90.00 gamma=90.00
Closest atoms and distances in Å follow each position.
Fractional positions:
I (0.5000, 0.0000, 0.0000)  2 Hg 3.11
Sb (0.0000, 0.0000, 0.5000)  2 Hg 2.78
Hg (0.0000, 0.0000, 0.0000)  2 Sb 2.78, 4 I 3.11
I (0.0000, 0.5000, 0.0000)  2 Hg 3.11
In (0.5000, 0.5000, 0.5000)  8 I 4.17, 4 Sb 4.40

=====

i is preferred energetically. Next in line: 55 meV/atom higher.

=====

## i
VASP calculation (PBE) on a geometry-optimized InHgTe2I structure.

Unit cell a=5.6322 b=5.6322 c=6.2208 alpha=90.00 beta=90.00 gamma=90.00
Closest atoms and distances in Å follow each position.
Fractional positions:
In (0.5000, 0.5000, 0.5000)  4 I 3.98, 8 Te 4.20
Te (0.5000, 0.0000, 0.0000)  2 Hg 2.82
Hg (0.0000, 0.0000, 0.0000)  4 Te 2.82, 2 I 3.11
Te (0.0000, 0.5000, 0.0000)  2 Hg 2.82
I (0.0000, 0.0000, 0.5000)  2 Hg 3.11

=====

## ii
VASP calculation (PBE) on a geometry-optimized InHgTe2I structure.

Unit cell a=5.7667 b=5.7667 c=5.9460 alpha=90.00 beta=90.00 gamma=90.00
Closest atoms and distances in Å follow each position.
Fractional positions:
Hg (0.5000, 0.5000, 0.5000)  4 I 4.08, 8 Te 4.14
In (0.0000, 0.0000, 0.0000)  4 Te 2.88, 2 I 2.97
Te (0.0000, 0.5000, 0.0000)  2 In 2.88
I (0.0000, 0.0000, 0.5000)  2 In 2.97
Te (0.5000, 0.0000, 0.0000)  2 In 2.88

=====

i is preferred energetically. Next in line: 12 meV/atom higher.

=====

## i
VASP calculation (PBE) on a geometry-optimized TlInHgI2 structure.

Unit cell a=6.3938 b=6.3938 c=5.5791 alpha=90.00 beta=90.00 gamma=90.00
Closest atoms and distances in Å follow each position.
Fractional positions:
I (0.5000, 0.0000, 0.0000)  2 In 3.20
In (0.0000, 0.0000, 0.0000)  2 Hg 2.79
Hg (0.0000, 0.0000, 0.5000)  2 In 2.79
I (0.0000, 0.5000, 0.0000)  2 In 3.20
Tl (0.5000, 0.5000, 0.5000)  8 I 4.24, 4 Hg 4.52

=====

## ii
VASP calculation (PBE) on a geometry-optimized TlInHgI2 structure.

Unit cell a=4.9097 b=8.9097 c=9.8858 alpha=94.14 beta=90.00 gamma=90.00
Closest atoms and distances in Å follow each position.
Fractional positions:
I (0.7500, 0.8559, 0.6169)  3 In 3.24-3.52, 2 Tl 3.52
I (0.7500, 0.8128, 0.1177)  3 Tl 3.39-3.50, 2 In 3.49
In (0.2500, 0.7801, 0.3654)  5 I 3.24-3.52, 2 Hg 3.51
Tl (0.7500, 0.1938, 0.1355)  5 I 3.39-3.52, 1 Hg 3.51
In (0.7500, 0.2199, 0.6346)  5 I 3.24-3.52, 2 Hg 3.51
Hg (0.2500, 0.5000, 0.6204)  2 Hg 3.42, 1 Tl 3.51, 3 In 3.51-3.67, 1 I 3.81
I (0.2500, 0.1441, 0.3831)  3 In 3.24-3.52, 2 Tl 3.52
Hg (0.7500, 0.5000, 0.3796)  2 Hg 3.42, 1 Tl 3.51, 3 In 3.51-3.67, 1 I 3.81
I (0.2500, 0.1872, 0.8823)  3 Tl 3.39-3.50, 2 In 3.49
Tl (0.2500, 0.8062, 0.8645)  5 I 3.39-3.52, 1 Hg 3.51

=====

ii is preferred energetically. Next in line: 132 meV/atom higher.

=====

## i
VASP calculation (PBE) on a geometry-optimized HgIrI2 structure.

Unit cell a=5.2665 b=5.2665 c=5.2665 alpha=60.00 beta=60.00 gamma=60.00
Closest atoms and distances in Å follow each position.
Fractional positions:
Ir (0.0000, 0.0000, 0.0000)  8 I 3.23
Hg (0.5000, 0.5000, 0.5000)  8 I 3.23
I (0.2500, 0.2500, 0.2500)  4 Hg 3.23, 4 Ir 3.23
I (0.7500, 0.7500, 0.7500)  4 Hg 3.23, 4 Ir 3.23

=====

## ii
VASP calculation (PBE) on a geometry-optimized HgIrI2 structure.

Unit cell a=9.4748 b=9.4748 c=7.2370 alpha=49.11 beta=49.11 gamma=90.00
Closest atoms and distances in Å follow each position.
Fractional positions:
Ir (0.2500, 0.7500, 0.5000)  4 I 2.70, 2 Hg 2.74
Ir (0.5000, 0.5000, 0.0000)  4 I 2.70, 2 Hg 2.74
I (0.8750, 0.7404, 0.7500)  2 Ir 2.70
I (0.2596, 0.6250, 0.2500)  2 Ir 2.70
Hg (0.0000, 0.0000, 0.0000)  2 Ir 2.74
I (0.4904, 0.1250, 0.2500)  2 Ir 2.70
I (0.3750, 0.5096, 0.7500)  2 Ir 2.70
Hg (0.7500, 0.2500, 0.5000)  2 Ir 2.74

=====

ii is preferred energetically. Next in line: 819 meV/atom higher.

=====

## i
VASP calculation (PBE) on a geometry-optimized HgIrIN2 structure.

Unit cell a=3.8947 b=3.8947 c=8.0360 alpha=90.00 beta=90.00 gamma=90.00
Closest atoms and distances in Å follow each position.
Fractional positions:
N (0.0000, 0.5000, 0.0000)  2 Ir 1.95
N (0.5000, 0.0000, 0.0000)  2 Ir 1.95
Ir (0.0000, 0.0000, 0.0000)  4 N 1.95
I (0.0000, 0.0000, 0.5000)  4 Hg 2.75
Hg (0.5000, 0.5000, 0.5000)  4 I 2.75

=====

## ii
VASP calculation (PBE) on a geometry-optimized HgIrIN2 structure.

Unit cell a=4.0112 b=4.0112 c=7.4473 alpha=90.00 beta=90.00 gamma=90.00
Closest atoms and distances in Å follow each position.
Fractional positions:
Hg (0.0000, 0.0000, 0.0000)  4 N 2.01
N (0.5000, 0.0000, 0.0000)  2 Hg 2.01
I (0.0000, 0.0000, 0.5000)  4 Ir 2.84
N (0.0000, 0.5000, 0.0000)  2 Hg 2.01
Ir (0.5000, 0.5000, 0.5000)  4 I 2.84

=====

i is preferred energetically. Next in line: 1615 meV/atom higher.